A plane-wave DFT calculation with GGA-PBE was carried out for a geometry-optimized BeTe2AuN structure.

Cell: 5.572 5.572 3.067 Å, 90.00 90.00 90.00°
Fractional coordinates of all 5 atoms:
Be1 0.000 0.000 0.000
Te1 0.000 0.500 0.000
Te2 0.500 0.000 0.000
Au1 0.500 0.500 0.500
N1 0.000 0.000 0.500

Calculated values
Distance to the lowest polymorph of the same formula   0 meV/atom
ΔE_f (raw)   381 meV per atom
Total DFT energy (no corrections)   -3.94 eV per atom
M_tot   0.0 μB per cell
Space group   P4/mmm, No. 123